Li2NiHF6: relaxed, PBE with a Hubbard U.

Unit cell a=7.019 b=7.019 c=4.732 alpha=100.76 beta=100.76 gamma=101.74
Fractional positions:
Li1 0.044 0.252 0.144
Li2 0.252 0.044 0.644
Li3 0.748 0.956 0.356
Li4 0.956 0.748 0.856
Ni1 0.418 0.582 0.750
Ni2 0.582 0.418 0.250
H1 0.278 0.722 0.250
H2 0.722 0.278 0.750
F1 0.019 0.150 0.536
F2 0.150 0.019 0.036
F3 0.201 0.651 0.997
F4 0.305 0.410 0.355
F5 0.349 0.799 0.503
F6 0.410 0.305 0.855
F7 0.590 0.695 0.145
F8 0.651 0.201 0.497
F9 0.695 0.590 0.645
F10 0.799 0.349 0.003
F11 0.850 0.981 0.964
F12 0.981 0.850 0.464

Properties
The symmetry is No. 15. For the raw total energy, the calculation gives -82.8 eV per cell. The calculation puts the density of states at the Fermi level at 0.04 states/eV/atom.